{"formula": "NiRh2Se", "functional": "GGA-PBE", "state": "relaxed", "lattice": [[-4.0636, -0.7451, -2.2803], [-2.4856, -3.3143, 2.2595], [2.0752, 3.9569, 1.5180]], "species": ["Ni", "Rh", "Rh", "Se"], "frac_coords": [[0.7500, 0.2500, 0.5000], [0.0000, 0.0000, 0.0000], [0.2500, 0.7500, 0.5000], [0.5000, 0.5000, 0.0000]]}


{"formula": "NiRh2Se", "functional": "GGA-PBE", "state": "relaxed", "lattice": [[-2.4168, -1.6797, -0.2444], [0.7040, -1.4946, 3.3120], [-2.8618, 3.7809, 2.3145]], "species": ["Ni", "Rh", "Rh", "Se"], "frac_coords": [[0.5000, 0.5000, 0.7803], [0.0000, 0.0000, 0.9706], [0.5000, 0.5000, 0.2696], [0.0000, 0.0000, 0.4795]]}


{"formula": "Ni2RhSe6", "functional": "GGA-PBE", "state": "relaxed", "lattice": [[-3.3396, 5.0572, 1.1854], [-4.2247, -1.7041, 6.5684], [4.9681, 5.0327, 3.7265]], "species": ["Ni", "Ni", "Ni", "Ni", "Rh", "Rh", "Se", "Se", "Se", "Se", "Se", "Se", "Se", "Se", "Se", "Se", "Se", "Se"], "frac_coords": [[0.3094, 0.5458, 0.7297], [0.1906, 0.2703, 0.4542], [0.6906, 0.4542, 0.2703], [0.8094, 0.7297, 0.5458], [0.2500, 0.0914, 0.9086], [0.7500, 0.9086, 0.0914], [0.4576, 0.6970, 0.5078], [0.0424, 0.4922, 0.3030], [0.5424, 0.3030, 0.4922], [0.9576, 0.5078, 0.6970], [0.8399, 0.9423, 0.3683], [0.6601, 0.6317, 0.0577], [0.1601, 0.0577, 0.6317], [0.3399, 0.3683, 0.9423], [0.1895, 0.7935, 0.9539], [0.3105, 0.0461, 0.2065], [0.8105, 0.2065, 0.0461], [0.6895, 0.9539, 0.7935]]}


E / eV/cell: -23.199 -23.464 -82.917
Polymorph energy (0 for the lowest one) / kJ per mole of atoms: 10.7 4.3 12.5
Size of the total moment / μB/cell: 1.7 1.4 0.0